The following is a DFT calculation (GGA-PBE) of an optimized crystal structure of BiOs2I.

POSCAR file:
```
BiOs2I
1.0
0.0000 3.4017 3.4017
3.4017 0.0000 3.4017
3.4017 3.4017 0.0000
I Os Bi
1 2 1
Cartesian
0.0000 0.0000 0.0000
1.7008 1.7008 1.7008
5.1025 5.1025 5.1025
3.4017 3.4017 3.4017
```

Calculated values
raw formation energy = 1.468 eV/atom



The following is a DFT calculation (GGA-PBE) of an optimized crystal structure of BiOsI3.

POSCAR file:
```
BiOsI3
1.0
6.1647 0.0000 0.0000
0.0000 6.1647 0.0000
0.0000 0.0000 6.1647
I Os Bi
3 1 1
Cartesian
0.0000 3.0824 0.0000
0.0000 0.0000 3.0824
3.0824 0.0000 0.0000
3.0824 3.0824 3.0824
0.0000 0.0000 0.0000
```

Calculated values
raw formation energy = 1.336 eV/atom



The following is a DFT calculation (GGA-PBE) of an optimized crystal structure of BiOs2PtI.

POSCAR file:
```
BiOs2PtI
1.0
5.1194 0.0000 0.0000
0.0000 5.1293 0.0000
0.0000 0.0000 5.1194
I Os Bi Pt
1 2 1 1
Cartesian
2.5597 2.5646 2.5597
0.0000 0.0000 2.5597
2.5597 0.0000 0.0000
0.0000 0.0000 0.0000
0.0000 2.5646 0.0000
```

Calculated values
raw formation energy = 2.377 eV/atom



The following is a DFT calculation (GGA-PBE) of an optimized crystal structure of ReBiOsI2.

POSCAR file:
```
ReBiOsI2
1.0
-3.4287 0.5042 -4.1578
-1.1741 -4.6808 0.4006
-3.9773 1.2918 3.4365
I Re Os Bi
2 1 1 1
Cartesian
-1.9886 0.6459 1.7182
-1.7143 0.2521 -2.0789
-0.5871 -2.3404 0.2003
0.0000 0.0000 0.0000
-4.2900 -1.4424 -0.1603
```

Calculated values
raw formation energy = 1.465 eV/atom



The following is a DFT calculation (GGA-PBE) of an optimized crystal structure of BiOsRhI2.

POSCAR file:
```
BiOsRhI2
1.0
5.3344 0.0000 0.0000
0.0000 4.8149 0.0000
0.0000 0.0000 5.3344
I Rh Os Bi
2 1 1 1
Cartesian
0.0000 0.0000 2.6672
2.6672 0.0000 0.0000
0.0000 0.0000 0.0000
0.0000 2.4075 0.0000
2.6672 2.4075 2.6672
```

Calculated values
raw formation energy = 1.152 eV/atom



The following is a DFT calculation (GGA-PBE) of an optimized crystal structure of BiSbOsI2.

POSCAR file:
```
BiSbOsI2
1.0
5.4379 0.0000 0.0000
0.0000 5.4379 0.0000
0.0000 0.0000 5.1340
I Sb Os Bi
2 1 1 1
Cartesian
0.0000 2.7189 0.0000
2.7189 0.0000 0.0000
0.0000 0.0000 2.5670
0.0000 0.0000 0.0000
2.7189 2.7189 2.5670
```

Calculated values
raw formation energy = 0.705 eV/atom



The following is a DFT calculation (GGA-PBE) of an optimized crystal structure of BiSbOsI2.

POSCAR file:
```
BiSbOsI2
1.0
-5.7839 0.9293 -1.4881
-1.6845 -4.3752 3.8147
-0.4878 4.0416 4.4200
I Sb Os Bi
2 1 1 1
Cartesian
-0.8422 -2.1876 1.9073
-2.8919 0.4647 -0.7441
-0.2439 2.0208 2.2100
-3.9781 0.2979 3.3733
0.0000 0.0000 0.0000
```

Calculated values
raw formation energy = 1.678 eV/atom



The following is a DFT calculation (GGA-PBE) of an optimized crystal structure of SiBi2OsI.

POSCAR file:
```
SiBi2OsI
1.0
5.6267 0.0000 0.0000
0.0000 4.5262 0.0000
0.0000 0.0000 5.6267
I Si Os Bi
1 1 1 2
Cartesian
2.8134 2.2631 2.8134
0.0000 0.0000 0.0000
0.0000 2.2631 0.0000
0.0000 0.0000 2.8134
2.8134 0.0000 0.0000
```

Calculated values
raw formation energy = 0.938 eV/atom